VASP calculation (PBE+U) on a geometry-optimized CaFeTc2O8 structure.

Computed properties:
Raw total energy (Ry per atom): -0.5351
Fermi-level density of states (states/eV/cell): 9.225

```
CaFeTc2O8
1.0
-1.1243 -2.4543 5.1697
-2.3099 -2.2493 -4.8599
5.0997 -3.7683 -0.6798
Ca Fe Tc O
1 1 2 8
direct
0.0000 0.0000 0.0000
0.0000 0.0000 0.5000
0.6667 0.3333 0.2121
0.3333 0.6667 0.7879
0.3333 0.6667 0.0626
0.3215 0.1608 0.2861
0.8392 0.1606 0.2861
0.6667 0.3333 0.9374
0.1608 0.8394 0.7139
0.6785 0.8392 0.7139
0.1606 0.3215 0.7139
0.8394 0.6785 0.2861
```